Computed, not measured: a PBEsol-optimized structure of LaSbP2 at the SCAN level of DFT.

Values from the calculation:
As for the total magnetic moment: 0.000 μB per cell. Its space group is Cm, No. 8. As for the crystal system: monoclinic.

Structure (extended XYZ):
```
4
Lattice="5.539 -1.982 0.000 5.539 1.982 0.000 -0.103 0.000 4.266" Properties=species:S:1:pos:R:3 pbc="T T T"
La 0.000 0.000 0.000
Sb 2.550 0.000 2.294
P 5.014 0.000 2.125
P 7.842 0.000 4.113
```


Computed, not measured: a PBEsol-optimized structure of LaSb2TeP at the SCAN level of DFT.

Values from the calculation:
As for the total magnetic moment: 1.554 μB per cell. Its space group is P4/mmm, No. 123. As for the crystal system: tetragonal.

Structure (extended XYZ):
```
5
Lattice="6.020 0.000 0.000 0.000 6.020 0.000 0.000 0.000 5.936" Properties=species:S:1:pos:R:3 pbc="T T T"
La 0.000 0.000 0.000
Sb 0.000 3.010 0.000
Sb 3.010 0.000 0.000
Te 0.000 0.000 2.968
P 3.010 3.010 2.968
```


Computed, not measured: a PBEsol-optimized structure of La2ZnSbP at the SCAN level of DFT.

Values from the calculation:
As for the total magnetic moment: 0.000 μB per cell. Its space group is P4/mmm, No. 123. As for the crystal system: tetragonal.

Structure (extended XYZ):
```
5
Lattice="5.948 0.000 0.000 0.000 5.948 0.000 0.000 0.000 4.976" Properties=species:S:1:pos:R:3 pbc="T T T"
La 0.000 2.974 0.000
La 2.974 0.000 0.000
Zn 0.000 0.000 2.488
Sb 2.974 2.974 0.000
P 2.974 2.974 2.488
```


What are the formation energy without anion corrections values for these records? In order: -3.304; 4.412; 0.792 eV/f.u..
What are the N(E_F) values for these records? In order: 0.090; 4.186; 4.112 states/eV/f.u..